This record from Alexandria describes a relaxed PuBiRh4 crystal. The functional is PBE-GGA.

calculated total energy: -8.19 eV/atom
total moment: 0.76 μB/atom
space group: F-43m (216)
theoretical density: 13.29 g cm⁻³

Unit cell a=5.346 b=5.346 c=5.346 alpha=60.00 beta=60.00 gamma=60.00
Positions (direct):
Pu 0.000 0.000 0.000
Bi 0.250 0.250 0.250
Rh 0.126 0.625 0.625
Rh 0.625 0.126 0.625
Rh 0.625 0.625 0.126
Rh 0.625 0.625 0.625